[1]
This record from Alexandria describes a relaxed structure of Ni4Se. The functional is PBE.

Summary:
total magnetization = 1.041 Bohr magnetons per cell
total DFT energy (no corrections) = -4.647 eV per atom
Fermi-level density of states = 1.98 states/eV per atom

a b c (Å): 4.2816 4.2816 4.2816
angles (deg): 90.00 90.00 90.00
Element x y z (fractional)
Ni 0.0000 0.0000 0.0000
Ni 0.5000 0.0000 0.5000
Ni 0.0000 0.5000 0.5000
Ni 0.5000 0.5000 0.0000
Se 0.5000 0.5000 0.5000

***

[2]
This record from Alexandria describes a relaxed structure of NiSe5. The functional is PBE.

Summary:
total magnetization = 0.000 Bohr magnetons per cell
Fermi-level density of states = 0.43 states/eV per atom
polymorph energy (0 for the lowest one) = 182 meV per atom

a b c (Å): 9.2066 9.2066 4.6432
angles (deg): 90.00 90.00 158.69
Element x y z (fractional)
Ni 0.9848 0.0152 0.0000
Se 0.7608 0.2392 0.5000
Se 0.5747 0.4253 0.0000
Se 0.4559 0.5441 0.5000
Se 0.3916 0.6084 0.0000
Se 0.1655 0.8345 0.5000

***

[3]
This record from Alexandria describes a relaxed structure of Ni19Se20. The functional is PBE.

Summary:
total magnetization = 0.000 Bohr magnetons per cell
total DFT energy (no corrections) = -4.856 eV per atom
Fermi-level density of states = 0.52 states/eV per atom

a b c (Å): 7.3817 9.0412 11.0513
angles (deg): 65.96 80.35 65.75
Element x y z (fractional)
Ni 0.0000 0.5000 0.0000
Ni 0.4023 0.0904 0.2053
Ni 0.5000 0.5000 0.0000
Ni 0.7924 0.7028 0.3995
Ni 0.9023 0.6080 0.1960
Ni 0.9059 0.0920 0.1912
Ni 0.2076 0.2972 0.6005
Ni 0.2961 0.2057 0.3968
Ni 0.3052 0.7048 0.4012
Ni 0.3937 0.6070 0.1976
Ni 0.5977 0.9096 0.7947
Ni 0.7039 0.7943 0.6032
Ni 0.8032 0.1970 0.3954
Ni 0.6948 0.2952 0.5988
Ni 0.0977 0.3920 0.8040
Ni 0.1968 0.8030 0.6046
Ni 0.0941 0.9080 0.8088
Ni 0.5000 0.0000 0.0000
Ni 0.6063 0.3930 0.8024
Se 0.6474 0.6880 0.0346
Se 0.0511 0.2821 0.2311
Se 0.2510 0.9166 0.1703
Se 0.1528 0.6799 0.0299
Se 0.4475 0.8833 0.4418
Se 0.6507 0.5158 0.3649
Se 0.5510 0.2818 0.2297
Se 0.8493 0.4821 0.6339
Se 0.7472 0.9162 0.1714
Se 0.0480 0.1176 0.5680
Se 0.1507 0.5179 0.3661
Se 0.9520 0.8824 0.4320
Se 0.2528 0.0838 0.8286
Se 0.4490 0.7182 0.7703
Se 0.3493 0.4842 0.6351
Se 0.5525 0.1167 0.5582
Se 0.8472 0.3201 0.9701
Se 0.7490 0.0834 0.8297
Se 0.9489 0.7179 0.7689
Se 0.3526 0.3120 0.9654

***

- total magnetization of number 2 (NiSe5)?
  0.000 Bohr magnetons per cell